# ZrNbZn3

A relaxed structure of ZrNbZn3 (GGA-PBE, the Alexandria database). Values from VASP.

Geometry as Quantum ESPRESSO input:
```
&SYSTEM
  ibrav = 0, nat = 5, ntyp = 3
/
ATOMIC_SPECIES
Zr 91.22 Zr.upf
Zn 65.41 Zn.upf
Nb 92.91 Nb.upf
ATOMIC_POSITIONS crystal
Zr 0.000 0.000 0.000
Zn 0.000 0.500 0.000
Zn 0.500 0.000 0.000
Zn 0.000 0.000 0.500
Nb 0.500 0.500 0.500
CELL_PARAMETERS angstrom
-2.286 1.407 -4.097
1.454 -4.115 -2.224
-4.081 -2.254 1.503
```

Results
ΔE to the lowest computed polymorph	2.66	eV/f.u.
formation energy	1.4433	eV per atom
mass density	5.37	g/cm³
magnetic moment	0.9	μB per formula unit

# Zr6NbZn5

A relaxed structure of Zr6NbZn5 (GGA-PBE, the Alexandria database). Values from VASP.

Geometry as Quantum ESPRESSO input:
```
&SYSTEM
  ibrav = 0, nat = 12, ntyp = 3
/
ATOMIC_SPECIES
Zr 91.22 Zr.upf
Zn 65.41 Zn.upf
Nb 92.91 Nb.upf
ATOMIC_POSITIONS crystal
Zr 0.167 0.417 0.334
Zr 0.500 0.252 0.000
Zr 0.833 0.083 0.666
Zr 0.500 0.748 0.000
Zr 0.833 0.583 0.666
Zr 0.167 0.917 0.334
Zn 0.668 0.668 0.335
Zn 0.332 0.332 0.665
Zn 0.337 0.837 0.674
Zn 0.000 0.500 0.000
Zn 0.663 0.163 0.326
Nb 0.000 0.000 0.000
CELL_PARAMETERS angstrom
4.579 0.018 -1.336
-0.917 5.888 -3.067
-0.085 0.461 8.234
```

Results
formation energy	-0.2189	eV per atom
mass density	7.03	g/cm³
magnetic moment	0.0	μB per formula unit